Material: LaZrTl2
Method: DFT, GGA-PBE
State: optimized geometry

Computed properties:
**Total moment**: 2.87 Bohr magnetons per cell
**Crystal system**: trigonal
**Calculated volume**: 27.47 A^3/atom
**Formation energy**: -0.05 eV/atom
**Final energy**: -55.22 eV/cell

Cell: 3.4505 3.4505 31.9692 Å, 90.00 90.00 120.00°
Space group R-3m (No. 166, hexagonal axes)
Inequivalent atoms, fractional coordinates:
La  0.0000  0.0000  0.0000 x3
Zr  0.0000  0.0000  0.5000 x3
Tl  0.0000  0.0000  0.2443 x6